{
  "formula": "ZnPbBr4",
  "functional": "PBE-GGA",
  "state": "relaxed",
  "dos_at_fermi_per_ev_atom": 0.000,
  "e_above_lowest_polymorph_mev_per_atom": 0.0,
  "spacegroup": "I4_1/amd (141)",
  "magmom_total_mub_per_fu": 0.00,
  "e_tot_ev_per_atom": -2.7965,
  "raw_formation_energy_kj_per_mol_fu": -493,
  "lattice": [[7.786, -0.450, 2.491], [-4.270, 6.526, 2.491], [-0.260, -0.450, 8.171]],
  "species": ["Br", "Br", "Br", "Zn", "Zn", "Br", "Pb", "Pb", "Br", "Br", "Br", "Br"],
  "fractional_positions": [[0.380, 0.314, 0.434], [0.814, 0.248, 0.566], [0.186, 0.120, 0.066], [0.625, 0.875, 0.750], [0.375, 0.125, 0.250], [0.620, 0.686, 0.566], [0.875, 0.625, 0.250], [0.125, 0.375, 0.750], [0.814, 0.880, 0.934], [0.186, 0.752, 0.434], [0.748, 0.314, 0.066], [0.252, 0.686, 0.934]]
}